A plane-wave DFT calculation with PBE was carried out for a geometry-optimized CuBSe3 structure.

Summary:
E_tot, eV per atom: -2.99
Space-group type: No. 221
ΔE_f (raw), meV per atom: 1258
Offset from the most stable computed form, meV/atom: 1296

POSCAR file:
```
CuBSe3
1.0
4.779 0.000 0.000
0.000 4.779 0.000
0.000 0.000 4.779
Cu B Se
1 1 3
Direct
0.000 0.000 0.000 Cu
0.500 0.500 0.500 B
0.500 0.000 0.000 Se
0.000 0.500 0.000 Se
0.000 0.000 0.500 Se
```